! PBE LaReAg2, optimized geometry; values from VASP
&SYSTEM
  ibrav = 0, nat = 4, ntyp = 3
/
ATOMIC_SPECIES
La 138.91 La.upf
Re 186.21 Re.upf
Ag 107.87 Ag.upf
CELL_PARAMETERS angstrom
3.368 0.000 0.000
0.000 3.368 0.000
0.000 0.000 7.473
ATOMIC_POSITIONS crystal
La 0.000 0.000 0.000
Re 0.500 0.500 0.265
Ag 0.000 0.000 0.471
Ag 0.500 0.500 0.677
! - E above lowest polymorph (meV per atom) = 99.4
! - DFT formation energy (meV per atom) = 519
! - crystal system = tetragonal
! - magnetization (μB/f.u.) = 1.3


! PBE LaReAg, optimized geometry; values from VASP
&SYSTEM
  ibrav = 0, nat = 3, ntyp = 3
/
ATOMIC_SPECIES
La 138.91 La.upf
Re 186.21 Re.upf
Ag 107.87 Ag.upf
CELL_PARAMETERS angstrom
0.000 2.461 7.622
1.635 0.000 7.622
1.635 2.461 0.000
ATOMIC_POSITIONS crystal
La 0.000 0.000 0.000
Re 0.656 0.656 0.344
Ag 0.309 0.309 0.691
! - E above lowest polymorph (meV per atom) = 61.7
! - DFT formation energy (meV per atom) = 656
! - crystal system = orthorhombic
! - magnetization (μB/f.u.) = 0.0


! PBE LaReAg, optimized geometry; values from VASP
&SYSTEM
  ibrav = 0, nat = 3, ntyp = 3
/
ATOMIC_SPECIES
La 138.91 La.upf
Re 186.21 Re.upf
Ag 107.87 Ag.upf
CELL_PARAMETERS angstrom
0.000 3.456 3.456
3.456 0.000 3.456
3.456 3.456 0.000
ATOMIC_POSITIONS crystal
La 0.000 0.000 0.000
Re 0.750 0.750 0.750
Ag 0.250 0.250 0.250
! - E above lowest polymorph (meV per atom) = 815.6
! - DFT formation energy (meV per atom) = 1410
! - crystal system = cubic
! - magnetization (μB/f.u.) = 2.7


! PBE LaReAg2, optimized geometry; values from VASP
&SYSTEM
  ibrav = 0, nat = 4, ntyp = 3
/
ATOMIC_SPECIES
La 138.91 La.upf
Re 186.21 Re.upf
Ag 107.87 Ag.upf
CELL_PARAMETERS angstrom
1.487 0.858 10.332
-1.487 0.858 10.332
0.000 -1.717 10.332
ATOMIC_POSITIONS crystal
La 0.000 0.000 0.000
Re 0.754 0.754 0.754
Ag 0.238 0.238 0.238
Ag 0.495 0.495 0.495
! - E above lowest polymorph (meV per atom) = 171.4
! - DFT formation energy (meV per atom) = 591
! - crystal system = trigonal
! - magnetization (μB/f.u.) = 0.3


! PBE LaReAg2, optimized geometry; values from VASP
&SYSTEM
  ibrav = 0, nat = 4, ntyp = 3
/
ATOMIC_SPECIES
La 138.91 La.upf
Re 186.21 Re.upf
Ag 107.87 Ag.upf
CELL_PARAMETERS angstrom
0.000 3.501 3.501
3.501 0.000 3.501
3.501 3.501 0.000
ATOMIC_POSITIONS crystal
La 0.000 0.000 0.000
Re 0.500 0.500 0.500
Ag 0.250 0.250 0.250
Ag 0.750 0.750 0.750
! - E above lowest polymorph (meV per atom) = 201.4
! - DFT formation energy (meV per atom) = 621
! - crystal system = cubic
! - magnetization (μB/f.u.) = 1.6


! PBE LaReAg2, optimized geometry; values from VASP
&SYSTEM
  ibrav = 0, nat = 8, ntyp = 3
/
ATOMIC_SPECIES
La 138.91 La.upf
Re 186.21 Re.upf
Ag 107.87 Ag.upf
CELL_PARAMETERS angstrom
-2.041 2.041 10.601
2.041 -2.041 10.601
2.041 2.041 -10.601
ATOMIC_POSITIONS crystal
La 0.000 0.000 0.000
La 0.750 0.250 0.500
Re 0.250 0.750 0.500
Re 0.500 0.500 0.000
Ag 0.156 0.625 0.031
Ag 0.375 0.406 0.531
Ag 0.594 0.125 0.969
Ag 0.875 0.844 0.469
! - E above lowest polymorph (meV per atom) = 318.5
! - DFT formation energy (meV per atom) = 738
! - crystal system = tetragonal
! - magnetization (μB/f.u.) = 0.0


! PBE LaReAg3, optimized geometry; values from VASP
&SYSTEM
  ibrav = 0, nat = 5, ntyp = 3
/
ATOMIC_SPECIES
La 138.91 La.upf
Re 186.21 Re.upf
Ag 107.87 Ag.upf
CELL_PARAMETERS angstrom
5.058 0.000 0.000
0.000 5.058 0.000
0.000 0.000 5.058
ATOMIC_POSITIONS crystal
La 0.000 0.000 0.000
Re 0.500 0.500 0.500
Ag 0.000 0.500 0.500
Ag 0.500 0.000 0.500
Ag 0.500 0.500 0.000
! - E above lowest polymorph (meV per atom) = 0.0
! - DFT formation energy (meV per atom) = 867
! - crystal system = cubic
! - magnetization (μB/f.u.) = 0.0


! PBE LaRe2Ag, optimized geometry; values from VASP
&SYSTEM
  ibrav = 0, nat = 4, ntyp = 3
/
ATOMIC_SPECIES
La 138.91 La.upf
Re 186.21 Re.upf
Ag 107.87 Ag.upf
CELL_PARAMETERS angstrom
-2.009 2.491 4.169
2.009 -2.491 4.169
2.009 2.491 -4.169
ATOMIC_POSITIONS crystal
La 0.000 0.000 0.000
Re 0.271 0.771 0.500
Re 0.440 0.440 0.000
Ag 0.718 0.218 0.500
! - E above lowest polymorph (meV per atom) = 342.0
! - DFT formation energy (meV per atom) = 568
! - crystal system = orthorhombic
! - magnetization (μB/f.u.) = 0.0


! PBE LaTlRe2Ag, optimized geometry; values from VASP
&SYSTEM
  ibrav = 0, nat = 5, ntyp = 4
/
ATOMIC_SPECIES
La 138.91 La.upf
Tl 204.38 Tl.upf
Re 186.21 Re.upf
Ag 107.87 Ag.upf
CELL_PARAMETERS angstrom
5.022 0.000 0.000
0.000 5.022 0.000
0.000 0.000 5.696
ATOMIC_POSITIONS crystal
La 0.000 0.000 0.000
Tl 0.000 0.000 0.500
Re 0.000 0.500 0.500
Re 0.500 0.000 0.500
Ag 0.500 0.500 0.000
! - DFT formation energy (meV per atom) = 2236
! - crystal system = tetragonal
! - magnetization (μB/f.u.) = 0.2


! PBE LaZn2ReAg, optimized geometry; values from VASP
&SYSTEM
  ibrav = 0, nat = 5, ntyp = 4
/
ATOMIC_SPECIES
La 138.91 La.upf
Zn 65.41 Zn.upf
Re 186.21 Re.upf
Ag 107.87 Ag.upf
CELL_PARAMETERS angstrom
4.991 0.000 0.000
0.000 4.991 0.000
0.000 0.000 5.100
ATOMIC_POSITIONS crystal
La 0.000 0.000 0.000
Zn 0.000 0.500 0.500
Zn 0.500 0.000 0.500
Re 0.000 0.000 0.500
Ag 0.500 0.500 0.000
! - DFT formation energy (meV per atom) = 507
! - crystal system = tetragonal
! - magnetization (μB/f.u.) = 0.0


! PBE LaZnRe2Ag, optimized geometry; values from VASP
&SYSTEM
  ibrav = 0, nat = 5, ntyp = 4
/
ATOMIC_SPECIES
La 138.91 La.upf
Zn 65.41 Zn.upf
Re 186.21 Re.upf
Ag 107.87 Ag.upf
CELL_PARAMETERS angstrom
4.637 0.000 0.000
0.000 4.637 0.000
0.000 0.000 5.298
ATOMIC_POSITIONS crystal
La 0.000 0.000 0.000
Zn 0.000 0.000 0.500
Re 0.000 0.500 0.500
Re 0.500 0.000 0.500
Ag 0.500 0.500 0.000
! - DFT formation energy (meV per atom) = 1497
! - crystal system = tetragonal
! - magnetization (μB/f.u.) = 0.0


! PBE La11Ag9Rh4, optimized geometry; values from VASP
&SYSTEM
  ibrav = 0, nat = 24, ntyp = 3
/
ATOMIC_SPECIES
La 138.91 La.upf
Ag 107.87 Ag.upf
Rh 102.91 Rh.upf
CELL_PARAMETERS angstrom
7.356 -11.008 0.000
7.356 11.008 0.000
0.000 0.000 3.838
ATOMIC_POSITIONS crystal
La 0.000 0.000 0.000
La 0.079 0.415 0.000
La 0.166 0.834 0.000
La 0.305 0.305 0.000
La 0.369 0.631 0.000
La 0.415 0.079 0.000
La 0.585 0.921 0.000
La 0.631 0.369 0.000
La 0.695 0.695 0.000
La 0.834 0.166 0.000
La 0.921 0.585 0.000
Ag 0.070 0.213 0.500
Ag 0.158 0.634 0.500
Ag 0.213 0.070 0.500
Ag 0.366 0.842 0.500
Ag 0.500 0.500 0.500
Ag 0.634 0.158 0.500
Ag 0.787 0.930 0.500
Ag 0.842 0.366 0.500
Ag 0.930 0.787 0.500
Rh 0.250 0.449 0.500
Rh 0.449 0.250 0.500
Rh 0.551 0.750 0.500
Rh 0.750 0.551 0.500
! - DFT formation energy (meV per atom) = -439
! - crystal system = orthorhombic
! - magnetization (μB/f.u.) = 0.0